<w>
A relaxed structure of HoPaTl2, computed with PBE.

a b c (Å): 5.367 5.367 5.367
angles (deg): 60.00 60.00 60.00
Positions (direct):
Ho  0.000  0.000  0.000
Pa  0.500  0.500  0.500
Tl  0.250  0.250  0.250
Tl  0.750  0.750  0.750

Calculated values
For the total magnetization, the calculation gives 1.5 μB per formula unit.

<x>
A relaxed structure of HoPaTl2, computed with PBE.

a b c (Å): 3.407 3.407 9.102
angles (deg): 90.00 90.00 90.00
Positions (direct):
Ho  0.000  0.000  0.000
Pa  0.000  0.000  0.500
Tl  0.500  0.500  0.245
Tl  0.500  0.500  0.755

Calculated values
For the total magnetization, the calculation gives 1.4 μB per formula unit.

Verdict on stability: <x> comes out on top.

<w>
A relaxed structure of YHo2Pa, computed with PBE.

a b c (Å): 12.214 12.214 12.214
angles (deg): 15.97 15.97 15.97
Positions (direct):
Y  0.000  0.000  0.000
Ho  0.092  0.092  0.092
Ho  0.908  0.908  0.908
Pa  0.500  0.500  0.500

Calculated values
For the total magnetization, the calculation gives 0.0 μB per formula unit.

<x>
A relaxed structure of YHo2Pa, computed with PBE.

a b c (Å): 5.781 5.781 3.522
angles (deg): 90.00 90.00 90.00
Positions (direct):
Y  0.000  0.000  0.000
Ho  0.000  0.500  0.500
Ho  0.500  0.000  0.500
Pa  0.500  0.500  0.000

Calculated values
For the total magnetization, the calculation gives 0.4 μB per formula unit.

Verdict on stability: <w> comes out on top.

<w>
A relaxed structure of Y2HoPa, computed with PBE.

a b c (Å): 11.714 11.714 11.714
angles (deg): 16.89 16.89 16.89
Positions (direct):
Y  0.000  0.000  0.000
Y  0.162  0.162  0.162
Ho  0.581  0.581  0.581
Pa  0.415  0.415  0.415

Calculated values
For the total magnetization, the calculation gives 0.0 μB per formula unit.

<x>
A relaxed structure of Y2HoPa, computed with PBE.

a b c (Å): 3.414 3.414 10.249
angles (deg): 90.00 90.00 90.00
Positions (direct):
Y  0.000  0.000  0.235
Y  0.000  0.000  0.765
Ho  0.500  0.500  0.500
Pa  0.500  0.500  0.000

Calculated values
For the total magnetization, the calculation gives 0.2 μB per formula unit.

Verdict on stability: <w> comes out on top.

<w>
A relaxed structure of HoPaZn, computed with PBE.

a b c (Å): 5.068 5.068 3.196
angles (deg): 90.00 90.00 120.00
Positions (direct):
Ho  0.000  0.000  0.000
Pa  0.333  0.667  0.550
Zn  0.667  0.333  0.219

Calculated values
For the total magnetization, the calculation gives 0.6 μB per formula unit.

<x>
A relaxed structure of HoPaZn, computed with PBE.

a b c (Å): 5.469 5.469 5.728
angles (deg): 90.00 90.00 90.00
Positions (direct):
Ho  0.250  0.250  0.074
Ho  0.750  0.750  0.926
Pa  0.250  0.750  0.500
Pa  0.750  0.250  0.500
Zn  0.250  0.750  0.000
Zn  0.750  0.250  0.000

Calculated values
For the total magnetization, the calculation gives 1.4 μB per formula unit.

<y>
A relaxed structure of HoPaZn, computed with PBE.

a b c (Å): 7.226 7.226 7.226
angles (deg): 154.32 154.32 36.63
Positions (direct):
Ho  0.000  0.000  0.000
Pa  0.307  0.307  0.000
Zn  0.651  0.651  0.000

Calculated values
For the total magnetization, the calculation gives 0.4 μB per formula unit.

Verdict on stability: <y> comes out on top.

<w>
A relaxed structure of HoZr2Pa, computed with PBE.

a b c (Å): 3.830 3.830 7.065
angles (deg): 90.00 90.00 90.00
Positions (direct):
Ho  0.000  0.000  0.000
Zr  0.500  0.500  0.290
Zr  0.500  0.500  0.710
Pa  0.000  0.000  0.500

Calculated values
For the total magnetization, the calculation gives 0.0 μB per formula unit.

<x>
A relaxed structure of HoZr2Pa, computed with PBE.

a b c (Å): 11.124 11.124 11.124
angles (deg): 16.85 16.85 16.85
Positions (direct):
Ho  0.000  0.000  0.000
Zr  0.419  0.419  0.419
Zr  0.581  0.581  0.581
Pa  0.167  0.167  0.167

Calculated values
For the total magnetization, the calculation gives 0.0 μB per formula unit.

<y>
A relaxed structure of HoZr2Pa, computed with PBE.

a b c (Å): 11.692 11.692 11.692
angles (deg): 15.93 15.93 15.93
Positions (direct):
Ho  0.000  0.000  0.000
Zr  0.090  0.090  0.090
Zr  0.910  0.910  0.910
Pa  0.500  0.500  0.500

Calculated values
For the total magnetization, the calculation gives 0.0 μB per formula unit.

Verdict on stability: <x> comes out on top.

<w>
A relaxed structure of Ho2ZrPa, computed with PBE.

a b c (Å): 11.365 11.365 11.365
angles (deg): 16.80 16.80 16.80
Positions (direct):
Ho  0.000  0.000  0.000
Ho  0.171  0.171  0.171
Zr  0.585  0.585  0.585
Pa  0.419  0.419  0.419

Calculated values
For the total magnetization, the calculation gives 0.0 μB per formula unit.

<x>
A relaxed structure of Ho2ZrPa, computed with PBE.

a b c (Å): 11.912 11.912 11.912
angles (deg): 15.83 15.83 15.83
Positions (direct):
Ho  0.089  0.089  0.089
Ho  0.911  0.911  0.911
Zr  0.000  0.000  0.000
Pa  0.500  0.500  0.500

Calculated values
For the total magnetization, the calculation gives 0.0 μB per formula unit.

Verdict on stability: <w> comes out on top.

<w>
A relaxed structure of Ho2Pb3, computed with PBE.

a b c (Å): 8.552 6.431 9.681
angles (deg): 60.17 40.72 79.11
Positions (direct):
Ho  0.017  0.483  0.087
Ho  0.163  0.837  0.233
Ho  0.483  0.017  0.413
Ho  0.837  0.163  0.767
Pb  0.055  0.055  0.945
Pb  0.305  0.305  0.195
Pb  0.491  0.578  0.305
Pb  0.578  0.491  0.625
Pb  0.625  0.945  0.672
Pb  0.945  0.625  0.759

Calculated values
For the total magnetization, the calculation gives 0.0 μB per formula unit.

<x>
A relaxed structure of Ho2Pb3, computed with PBE.

a b c (Å): 12.201 4.375 11.106
angles (deg): 90.00 90.00 90.00
Positions (direct):
Ho  0.011  0.250  0.241
Ho  0.224  0.250  0.581
Ho  0.276  0.750  0.081
Ho  0.489  0.750  0.741
Ho  0.511  0.250  0.259
Ho  0.724  0.250  0.919
Ho  0.776  0.750  0.419
Ho  0.989  0.750  0.759
Pb  0.078  0.750  0.439
Pb  0.097  0.250  0.946
Pb  0.240  0.750  0.793
Pb  0.260  0.250  0.293
Pb  0.403  0.750  0.446
Pb  0.422  0.250  0.939
Pb  0.578  0.750  0.061
Pb  0.597  0.250  0.554
Pb  0.740  0.750  0.707
Pb  0.760  0.250  0.207
Pb  0.903  0.750  0.054
Pb  0.922  0.250  0.561

Calculated values
For the total magnetization, the calculation gives 0.0 μB per formula unit.

Verdict on stability: <w> comes out on top.

<w>
A relaxed structure of HoPd6Pb, computed with PBE.

a b c (Å): 5.495 5.495 5.495
angles (deg): 84.89 84.89 84.89
Positions (direct):
Ho  0.000  0.000  0.000
Pd  0.160  0.160  0.534
Pd  0.160  0.534  0.160
Pd  0.466  0.840  0.840
Pd  0.534  0.160  0.160
Pd  0.840  0.466  0.840
Pd  0.840  0.840  0.466
Pb  0.500  0.500  0.500

Calculated values
For the total magnetization, the calculation gives 0.0 μB per formula unit.

<x>
A relaxed structure of HoPd6Pb, computed with PBE.

a b c (Å): 4.120 4.120 8.193
angles (deg): 90.00 90.00 90.00
Positions (direct):
Ho  0.000  0.000  0.000
Pd  0.000  0.500  0.251
Pd  0.000  0.500  0.749
Pd  0.500  0.000  0.251
Pd  0.500  0.000  0.749
Pd  0.500  0.500  0.000
Pd  0.500  0.500  0.500
Pb  0.000  0.000  0.500

Calculated values
For the total magnetization, the calculation gives 0.0 μB per formula unit.

Verdict on stability: <x> comes out on top.

<w>
A relaxed structure of Pm2HoPb3, computed with PBE.

a b c (Å): 8.044 8.044 9.104
angles (deg): 90.00 90.00 143.76
Positions (direct):
Pm  0.000  0.000  0.000
Pm  0.000  0.000  0.500
Pm  0.333  0.667  0.000
Pm  0.667  0.333  0.000
Ho  0.332  0.668  0.500
Ho  0.668  0.332  0.500
Pb  0.168  0.832  0.254
Pb  0.168  0.832  0.746
Pb  0.500  0.500  0.254
Pb  0.500  0.500  0.746
Pb  0.832  0.168  0.254
Pb  0.832  0.168  0.746

Calculated values
For the total magnetization, the calculation gives 0.0 μB per formula unit.

<x>
A relaxed structure of Pm2HoPb3, computed with PBE.

a b c (Å): 9.241 9.241 6.451
angles (deg): 100.47 100.47 41.14
Positions (direct):
Pm  0.045  0.290  0.099
Pm  0.290  0.045  0.599
Pm  0.710  0.955  0.401
Pm  0.955  0.710  0.901
Ho  0.381  0.619  0.250
Ho  0.619  0.381  0.750
Pb  0.118  0.882  0.750
Pb  0.224  0.452  0.423
Pb  0.452  0.224  0.923
Pb  0.548  0.776  0.077
Pb  0.776  0.548  0.577
Pb  0.882  0.118  0.250

Calculated values
For the total magnetization, the calculation gives 0.0 μB per formula unit.

Verdict on stability: <x> comes out on top.

<w>
A relaxed structure of PmHo2Pb, computed with PBE.

a b c (Å): 12.227 12.227 12.227
angles (deg): 16.67 16.67 16.67
Positions (direct):
Pm  0.000  0.000  0.000
Ho  0.413  0.413  0.413
Ho  0.587  0.587  0.587
Pb  0.500  0.500  0.500

Calculated values
For the total magnetization, the calculation gives 0.0 μB per formula unit.

<x>
A relaxed structure of PmHo2Pb, computed with PBE.

a b c (Å): 5.482 5.482 5.482
angles (deg): 60.00 60.00 60.00
Positions (direct):
Pm  0.000  0.000  0.000
Ho  0.250  0.250  0.250
Ho  0.750  0.750  0.750
Pb  0.500  0.500  0.500

Calculated values
For the total magnetization, the calculation gives 0.5 μB per formula unit.

Verdict on stability: <x> comes out on top.

<w>
A relaxed structure of Pm3HoPb4, computed with PBE.

a b c (Å): 7.443 7.443 5.260
angles (deg): 90.00 90.00 118.70
Positions (direct):
Pm  0.000  0.000  0.000
Pm  0.000  0.500  0.500
Pm  0.500  0.000  0.500
Ho  0.500  0.500  0.000
Pb  0.253  0.747  0.000
Pb  0.260  0.260  0.500
Pb  0.740  0.740  0.500
Pb  0.747  0.253  0.000

Calculated values
For the total magnetization, the calculation gives 0.0 μB per formula unit.

<x>
A relaxed structure of Pm3HoPb4, computed with PBE.

a b c (Å): 9.718 9.718 5.094
angles (deg): 105.00 105.00 30.36
Positions (direct):
Pm  0.000  0.000  0.000
Pm  0.249  0.249  0.249
Pm  0.751  0.751  0.751
Ho  0.500  0.500  0.500
Pb  0.124  0.124  0.624
Pb  0.376  0.376  0.876
Pb  0.624  0.624  0.124
Pb  0.876  0.876  0.376

Calculated values
For the total magnetization, the calculation gives 0.0 μB per formula unit.

Verdict on stability: <x> comes out on top.

<w>
A relaxed structure of Pm3Ho2Pb3, computed with PBE.

a b c (Å): 11.406 11.406 11.406
angles (deg): 157.65 154.73 33.98
Positions (direct):
Pm  0.000  0.000  0.000
Pm  0.379  0.879  0.500
Pm  0.621  0.121  0.500
Ho  0.245  0.245  0.000
Ho  0.755  0.755  0.000
Pb  0.135  0.635  0.500
Pb  0.500  0.500  0.000
Pb  0.865  0.365  0.500

Calculated values
For the total magnetization, the calculation gives 0.0 μB per formula unit.

<x>
A relaxed structure of Pm3Ho2Pb3, computed with PBE.

a b c (Å): 9.211 9.211 6.714
angles (deg): 90.00 90.00 120.00
Positions (direct):
Pm  0.000  0.239  0.250
Pm  0.000  0.761  0.750
Pm  0.239  0.000  0.250
Pm  0.239  0.239  0.750
Pm  0.761  0.000  0.750
Pm  0.761  0.761  0.250
Ho  0.333  0.667  0.000
Ho  0.333  0.667  0.500
Ho  0.667  0.333  0.000
Ho  0.667  0.333  0.500
Pb  0.000  0.397  0.750
Pb  0.000  0.603  0.250
Pb  0.397  0.000  0.750
Pb  0.397  0.397  0.250
Pb  0.603  0.000  0.250
Pb  0.603  0.603  0.750

Calculated values
For the total magnetization, the calculation gives 0.0 μB per formula unit.

Verdict on stability: <x> comes out on top.